(1)
# AlCoOs2 SCAN PBEsol geometry
data_AlCoOs2
_symmetry_space_group_name_H-M 'P 1'
_symmetry_Int_Tables_number 1
_symmetry_space_group_name_Hall 'P 1'
_cell_length_a 2.918
_cell_length_b 2.918
_cell_length_c 5.996
_cell_angle_alpha 90.00
_cell_angle_beta 90.00
_cell_angle_gamma 90.00
loop_
_atom_site_label
_atom_site_type_symbol
_atom_site_fract_x
_atom_site_fract_y
_atom_site_fract_z
Os1 Os 0.000 0.000 0.742
Os2 Os 0.000 0.000 0.258
Co1 Co 0.500 0.500 0.500
Al1 Al 0.500 0.500 0.000
# M_tot (μB per cell): 1.9
# Crystal system: tetragonal
# DFT total energy (eV per atom): -42.2648
# Energy of formation from the pure elements (eV/atom): -0.06

(2)
# AlCoReOs2 SCAN PBEsol geometry
data_AlCoReOs2
_symmetry_space_group_name_H-M 'P 1'
_symmetry_Int_Tables_number 1
_symmetry_space_group_name_Hall 'P 1'
_cell_length_a 4.328
_cell_length_b 4.667
_cell_length_c 4.667
_cell_angle_alpha 90.00
_cell_angle_beta 90.00
_cell_angle_gamma 90.00
loop_
_atom_site_label
_atom_site_type_symbol
_atom_site_fract_x
_atom_site_fract_y
_atom_site_fract_z
Re1 Re 0.000 0.000 0.000
Os1 Os 0.000 0.000 0.500
Os2 Os 0.000 0.500 0.000
Al1 Al 0.500 0.500 0.500
Co1 Co 0.500 0.000 0.000
# M_tot (μB per cell): 2.2
# Crystal system: tetragonal
# DFT total energy (eV per atom): -46.1262
# Energy of formation from the pure elements (eV/atom): 1.86

(3)
# Al2CoP SCAN PBEsol geometry
data_Al2CoP
_symmetry_space_group_name_H-M 'P 1'
_symmetry_Int_Tables_number 1
_symmetry_space_group_name_Hall 'P 1'
_cell_length_a 3.246
_cell_length_b 3.974
_cell_length_c 3.974
_cell_angle_alpha 90.00
_cell_angle_beta 90.00
_cell_angle_gamma 90.00
loop_
_atom_site_label
_atom_site_type_symbol
_atom_site_fract_x
_atom_site_fract_y
_atom_site_fract_z
P1 P 0.500 0.000 0.000
Co1 Co 0.500 0.500 0.500
Al1 Al 0.000 0.000 0.500
Al2 Al 0.000 0.500 0.000
# M_tot (μB per cell): 0.0
# Crystal system: tetragonal
# DFT total energy (eV per atom): -10.8727
# Energy of formation from the pure elements (eV/atom): -0.07

(4)
# AlCoP2 SCAN PBEsol geometry
data_AlCoP2
_symmetry_space_group_name_H-M 'P 1'
_symmetry_Int_Tables_number 1
_symmetry_space_group_name_Hall 'P 1'
_cell_length_a 3.683
_cell_length_b 3.683
_cell_length_c 4.476
_cell_angle_alpha 114.29
_cell_angle_beta 114.29
_cell_angle_gamma 90.00
loop_
_atom_site_label
_atom_site_type_symbol
_atom_site_fract_x
_atom_site_fract_y
_atom_site_fract_z
P1 P 0.000 0.000 0.000
P2 P 0.750 0.250 0.500
Co1 Co 0.250 0.750 0.500
Al1 Al 0.500 0.500 0.000
# M_tot (μB per cell): 0.2
# Crystal system: tetragonal
# DFT total energy (eV per atom): -11.2007
# Energy of formation from the pure elements (eV/atom): 0.26